This record from Alexandria via LeMat-Bulk describes an optimized crystal structure of AlSe. The functional is PBE.

Lattice parameters (Å, degrees): 12.0974 3.7132 7.5735 90.00 127.60 90.00
Fractional positions:
Al: 0.0000 0.0000 0.0000
Al: 0.0970 0.0000 0.5835
Al: 0.2821 0.0000 0.2015
Al: 0.5000 0.5000 0.0000
Al: 0.5970 0.5000 0.5835
Al: 0.7821 0.5000 0.2015
Se: 0.0248 0.5000 0.2789
Se: 0.2344 0.5000 0.8650
Se: 0.3666 0.5000 0.4948
Se: 0.5248 0.0000 0.2789
Se: 0.7344 0.0000 0.8650
Se: 0.8666 0.0000 0.4948

## Properties
**ρ**: 3.9 g/cm3
**Raw formation energy**: -0.8 eV per formula unit
**VASP energy**: -4.026 eV/atom
**Total magnetic moment**: 0.0 μB/f.u.
**Volume**: 269.5 Å³/cell

This record from Alexandria via LeMat-Bulk describes an optimized crystal structure of Cs2NbCrAu. The functional is PBE.

Lattice parameters (Å, degrees): 6.9989 6.9989 4.3473 90.00 90.00 90.00
Fractional positions:
Cs: 0.0000 0.5000 0.0000
Cs: 0.5000 0.0000 0.0000
Nb: 0.0000 0.0000 0.0000
Cr: 0.0000 0.0000 0.5000
Au: 0.5000 0.5000 0.5000

## Properties
**ρ**: 4.7 g/cm3
**E_form**: 1.31 eV per atom
**VASP energy**: -3.629 eV/atom
**Total magnetic moment**: 0.0 μB/f.u.
**Volume**: 213.0 Å³/cell

This record from Alexandria via LeMat-Bulk describes an optimized crystal structure of Nb2VW5. The functional is PBE.

Lattice parameters (Å, degrees): 5.4433 10.7079 4.5217 90.00 90.00 90.00
Fractional positions:
Nb: 0.1653 0.1220 0.0000
Nb: 0.3347 0.6220 0.0000
Nb: 0.6653 0.3780 0.0000
Nb: 0.8347 0.8780 0.0000
V: 0.0000 0.5000 0.5000
V: 0.5000 0.0000 0.5000
W: 0.0000 0.0000 0.5000
W: 0.1592 0.7529 0.5000
W: 0.1615 0.3821 0.0000
W: 0.3385 0.8821 0.0000
W: 0.3408 0.2529 0.5000
W: 0.5000 0.5000 0.5000
W: 0.6592 0.7471 0.5000
W: 0.6615 0.1179 0.0000
W: 0.8385 0.6179 0.0000
W: 0.8408 0.2471 0.5000

## Properties
**ρ**: 14.6 g/cm3
**E_form**: 0.10 eV per atom
**VASP energy**: -11.653 eV/atom
**Total magnetic moment**: 0.0 μB/f.u.
**Volume**: 263.6 Å³/cell

This record from Alexandria via LeMat-Bulk describes an optimized crystal structure of Rb2SrBrCl6. The functional is PBE.

Lattice parameters (Å, degrees): 8.3858 8.3858 8.3858 125.69 125.69 80.40
Fractional positions:
Rb: 0.2500 0.7500 0.5000
Rb: 0.7500 0.2500 0.5000
Sr: 0.0000 0.0000 0.0000
Br: 0.5000 0.5000 0.0000
Cl: 0.2197 0.2197 0.0000
Cl: 0.2628 0.2628 0.5256
Cl: 0.2628 0.7372 0.0000
Cl: 0.7372 0.2628 0.0000
Cl: 0.7372 0.7372 0.4744
Cl: 0.7803 0.7803 0.0000

## Properties
**ρ**: 2.4 g/cm3
**Raw formation energy**: -13.3 eV per formula unit
**VASP energy**: -2.964 eV/atom
**Total magnetic moment**: 1.0 μB/f.u.
**Volume**: 375.3 Å³/cell

> Among the records above, which one has the lowest volume?

Cs2NbCrAu

> Number 3 is which compound?

Nb2VW5